The following is a DFT calculation (PBE) of a relaxed Ca2DyScSe4 crystal. Values from VASP.

Output
- Energy relative to the elements, uncorrected: -1.82 eV/atom
- Space-group type: No. 10
- N(E_F): 3.7 states/eV per cell

```
&SYSTEM
  ibrav = 0, nat = 8, ntyp = 4
/
ATOMIC_SPECIES
Sc 44.96 Sc.upf
Ca 40.08 Ca.upf
Se 78.96 Se.upf
Dy 162.50 Dy.upf
CELL_PARAMETERS angstrom
4.059 0.000 0.000
0.000 7.017 0.115
0.000 -2.460 6.722
ATOMIC_POSITIONS crystal
Sc 0.000 0.000 0.000
Ca 0.000 0.500 0.500
Se 0.500 0.761 0.763
Se 0.000 0.754 0.241
Se 0.000 0.246 0.759
Dy 0.500 0.500 0.000
Se 0.500 0.239 0.237
Ca 0.500 0.000 0.500
```